1.
The following is a GGA-PBE calculation of crystalline La2AlGePt6 at its relaxed geometry, from Alexandria via LeMat-Bulk.

Lattice parameters (Å, degrees): 12.0528 5.5230 8.4888 90.00 132.66 90.00
Closest atoms and distances in Å follow each position.
Space group C2/m (No. 12)
Inequivalent atoms, fractional coordinates:
La (0.2472, 0.0000, 0.2047) [4 per cell]  7 Pt 3.14-3.44
Al (0.0000, 0.5000, 0.0000) [2 per cell]  6 Pt 2.52-2.53
Ge (0.0000, 0.0000, 0.5000) [2 per cell]  6 Pt 2.48-2.54
Pt (0.0005, 0.2490, 0.2483) [8 per cell]  1 Al 2.52, 1 Ge 2.54, 3 Pt 2.73-2.77
Pt (0.2481, 0.5000, 0.3860) [4 per cell]  1 Ge 2.48, 1 Al 2.53, 2 Pt 2.73

Properties
For the density of states at the Fermi level, the calculation gives 2.7 states/eV/f.u. Its formation energy is -0.93 eV per atom.

2.
The following is a GGA-PBE calculation of crystalline La2AlGe3Pt4 at its relaxed geometry, from Alexandria via LeMat-Bulk.

Lattice parameters (Å, degrees): 4.4047 4.4047 10.1866 90.00 90.00 90.00
Closest atoms and distances in Å follow each position.
Space group P-4m2 (No. 115)
Inequivalent atoms, fractional coordinates:
La (0.0000, 0.5000, 0.2490) [2 per cell]  8 Pt 3.35-3.37, 6 Ge 3.36, 2 Al 3.36
Al (0.5000, 0.5000, 0.0000) [1 per cell]  4 Pt 2.55
Ge (0.0000, 0.0000, 0.0000) [1 per cell]  4 Pt 2.55
Ge (0.0000, 0.5000, 0.6282) [2 per cell]  5 Pt 2.50-2.56
Pt (0.0000, 0.0000, 0.5000) [1 per cell]  4 Ge 2.56
Pt (0.0000, 0.5000, 0.8733) [2 per cell]  3 Ge 2.50-2.55, 2 Al 2.55
Pt (0.5000, 0.5000, 0.5000) [1 per cell]  4 Ge 2.56

Properties
For the density of states at the Fermi level, the calculation gives 5.5 states/eV/f.u. Its formation energy is -1.03 eV per atom.

3.
The following is a GGA-PBE calculation of crystalline La3Al2GePt9 at its relaxed geometry, from Alexandria via LeMat-Bulk.

Lattice parameters (Å, degrees): 6.6587 6.6587 8.6028 90.00 90.00 120.00
Closest atoms and distances in Å follow each position.
Space group P-3m1 (No. 164)
Inequivalent atoms, fractional coordinates:
La (0.0000, 0.0000, 0.0000) [1 per cell]  6 Pt 2.91
La (0.3333, 0.6667, 0.7104) [2 per cell]  9 Pt 3.15-3.34
Al (0.3333, 0.6667, 0.1897) [2 per cell]  6 Pt 2.36-2.52
Ge (0.0000, 0.0000, 0.5000) [1 per cell]  6 Pt 2.48
Pt (0.0000, 0.5000, 0.0000) [3 per cell]  2 Al 2.52
Pt (0.1404, 0.2808, 0.2816) [6 per cell]  1 Al 2.36, 1 Ge 2.48

Properties
For the density of states at the Fermi level, the calculation gives 5.4 states/eV/f.u. Its formation energy is -0.73 eV per atom.

4.
The following is a GGA-PBE calculation of crystalline La2Al4GePt3 at its relaxed geometry, from Alexandria via LeMat-Bulk.

Lattice parameters (Å, degrees): 4.3988 4.3988 10.3148 90.00 90.00 90.00
Closest atoms and distances in Å follow each position.
Space group P-4m2 (No. 115)
Inequivalent atoms, fractional coordinates:
La (0.0000, 0.5000, 0.2485) [2 per cell]  8 Al 3.33-3.40, 6 Pt 3.37-3.38, 2 Ge 3.38
Al (0.0000, 0.0000, 0.5000) [1 per cell]  4 Pt 2.56
Al (0.0000, 0.5000, 0.8655) [2 per cell]  3 Pt 2.47-2.60, 2 Ge 2.60
Al (0.5000, 0.5000, 0.5000) [1 per cell]  4 Pt 2.56
Ge (0.5000, 0.5000, 0.0000) [1 per cell]  4 Al 2.60
Pt (0.0000, 0.0000, 0.0000) [1 per cell]  4 Al 2.60
Pt (0.0000, 0.5000, 0.6264) [2 per cell]  5 Al 2.47-2.56

Properties
For the density of states at the Fermi level, the calculation gives 8.0 states/eV/f.u. Its formation energy is -1.00 eV per atom.

5.
The following is a GGA-PBE calculation of crystalline LaPuAlGe at its relaxed geometry, from Alexandria via LeMat-Bulk.

Lattice parameters (Å, degrees): 7.3559 7.3559 7.3559 90.00 90.00 90.00
Closest atoms and distances in Å follow each position.
Space group F-43m (No. 216)
Inequivalent atoms, fractional coordinates:
La (0.0000, 0.0000, 0.0000) [4 per cell]  4 Ge 3.19, 4 Al 3.19
Pu (0.0000, 0.0000, 0.5000) [4 per cell]  4 Al 3.19, 4 Ge 3.19
Al (0.2500, 0.2500, 0.2500) [4 per cell]  4 La 3.19, 4 Pu 3.19
Ge (0.2500, 0.2500, 0.7500) [4 per cell]  4 Pu 3.19, 4 La 3.19

Properties
For the density of states at the Fermi level, the calculation gives 9.0 states/eV/f.u. Its formation energy is -0.31 eV per atom.

6.
The following is a GGA-PBE calculation of crystalline LaAlGeRh at its relaxed geometry, from Alexandria via LeMat-Bulk.

Lattice parameters (Å, degrees): 4.2370 4.2370 16.2707 90.00 90.00 120.00
Closest atoms and distances in Å follow each position.
Space group R3m (No. 160, hexagonal axes)
Inequivalent atoms, fractional coordinates:
La (0.0000, 0.0000, 0.0000) [3 per cell]  4 Ge 3.12-3.48, 4 Al 3.22-3.33
Al (0.0000, 0.0000, 0.7951) [3 per cell]  3 Rh 2.53, 3 Ge 2.82
Ge (0.0000, 0.0000, 0.2141) [3 per cell]  3 Rh 2.56, 3 Al 2.82
Rh (0.0000, 0.0000, 0.5008) [3 per cell]  3 Al 2.53, 3 Ge 2.56

Properties
For the density of states at the Fermi level, the calculation gives 2.7 states/eV/f.u. Its formation energy is -0.79 eV per atom.

7.
The following is a GGA-PBE calculation of crystalline LaAl2GeRh at its relaxed geometry, from Alexandria via LeMat-Bulk.

Lattice parameters (Å, degrees): 4.7165 4.7165 4.8934 90.00 90.00 90.00
Closest atoms and distances in Å follow each position.
Space group P4/mmm (No. 123)
Inequivalent atoms, fractional coordinates:
La (0.0000, 0.0000, 0.0000) [1 per cell]  4 Ge 3.34, 8 Al 3.40
Al (0.0000, 0.5000, 0.5000) [2 per cell]  2 Rh 2.36
Ge (0.5000, 0.5000, 0.0000) [1 per cell]  2 Rh 2.45
Rh (0.5000, 0.5000, 0.5000) [1 per cell]  4 Al 2.36, 2 Ge 2.45

Properties
For the density of states at the Fermi level, the calculation gives 4.7 states/eV/f.u. Its formation energy is -0.41 eV per atom.

8.
The following is a GGA-PBE calculation of crystalline La2AlGe3Rh4 at its relaxed geometry, from Alexandria via LeMat-Bulk.

Lattice parameters (Å, degrees): 4.2679 4.2679 10.3608 90.00 90.00 90.00
Closest atoms and distances in Å follow each position.
Space group P-4m2 (No. 115)
Inequivalent atoms, fractional coordinates:
La (0.0000, 0.5000, 0.2480) [2 per cell]  8 Rh 3.25-3.37, 6 Ge 3.28-3.34, 2 Al 3.34
Al (0.5000, 0.5000, 0.0000) [1 per cell]  4 Rh 2.53
Ge (0.0000, 0.0000, 0.0000) [1 per cell]  4 Rh 2.53
Ge (0.0000, 0.5000, 0.6278) [2 per cell]  5 Rh 2.51
Rh (0.0000, 0.0000, 0.5000) [1 per cell]  4 Ge 2.51
Rh (0.0000, 0.5000, 0.8696) [2 per cell]  3 Ge 2.51-2.53, 2 Al 2.53
Rh (0.5000, 0.5000, 0.5000) [1 per cell]  4 Ge 2.51

Properties
For the density of states at the Fermi level, the calculation gives 8.1 states/eV/f.u. Its formation energy is -0.92 eV per atom.

9.
The following is a GGA-PBE calculation of crystalline LaAlGe2Sb at its relaxed geometry, from Alexandria via LeMat-Bulk.

Lattice parameters (Å, degrees): 5.5296 5.5296 5.7227 90.00 90.00 90.00
Closest atoms and distances in Å follow each position.
Space group P4/mmm (No. 123)
Inequivalent atoms, fractional coordinates:
La (0.0000, 0.0000, 0.0000) [1 per cell]  4 Ge 2.76, 2 Al 2.86
Al (0.0000, 0.0000, 0.5000) [1 per cell]  2 La 2.86
Ge (0.0000, 0.5000, 0.0000) [2 per cell]  2 La 2.76
Sb (0.5000, 0.5000, 0.5000) [1 per cell]  4 Al 3.91, 8 Ge 3.98

Properties
The uncorrected formation energy is 23.4 kcal/mol of atoms. For the density of states at the Fermi level, the calculation gives 6.2 states/eV/f.u.

10.
The following is a GGA-PBE calculation of crystalline LaSmAlGe at its relaxed geometry, from Alexandria via LeMat-Bulk.

Lattice parameters (Å, degrees): 7.4560 7.4560 7.4560 90.00 90.00 90.00
Closest atoms and distances in Å follow each position.
Space group F-43m (No. 216)
Inequivalent atoms, fractional coordinates:
La (0.0000, 0.0000, 0.0000) [4 per cell]  4 Ge 3.23, 4 Al 3.23
Sm (0.0000, 0.0000, 0.5000) [4 per cell]  4 Ge 3.23, 4 Al 3.23
Al (0.2500, 0.2500, 0.7500) [4 per cell]  4 La 3.23, 4 Sm 3.23
Ge (0.2500, 0.2500, 0.2500) [4 per cell]  4 La 3.23, 4 Sm 3.23

Properties
As for the energy above the most stable polymorph in this dataset: 197 meV/atom. For the density of states at the Fermi level, the calculation gives 2.2 states/eV/f.u. Its formation energy is -0.46 eV per atom.

11.
The following is a GGA-PBE calculation of crystalline LaSmAl2Ge at its relaxed geometry, from Alexandria via LeMat-Bulk.

Lattice parameters (Å, degrees): 4.4190 4.5512 12.5787 90.00 90.00 90.00
Closest atoms and distances in Å follow each position.
Space group Imm2 (No. 44)
Inequivalent atoms, fractional coordinates:
La (0.0000, 0.0000, 0.0000) [2 per cell]  4 Ge 3.39, 6 Al 3.43-3.72
Sm (0.0000, 0.5000, 0.7573) [2 per cell]  2 Ge 2.89, 6 Al 2.98-3.19
Al (0.0000, 0.0000, 0.6047) [2 per cell]  1 Ge 2.50, 2 Al 2.75
Al (0.0000, 0.5000, 0.2342) [2 per cell]  2 Al 2.75
Ge (0.0000, 0.0000, 0.4058) [2 per cell]  1 Al 2.50

Properties
For the density of states at the Fermi level, the calculation gives 1.9 states/eV/f.u. Its formation energy is -0.49 eV per atom.

12.
The following is a GGA-PBE calculation of crystalline LaSmAlGe at its relaxed geometry, from Alexandria via LeMat-Bulk.

Lattice parameters (Å, degrees): 4.1299 4.5161 11.4553 90.00 90.00 90.00
Closest atoms and distances in Å follow each position.
Space group Amm2 (No. 38)
Inequivalent atoms, fractional coordinates:
La (0.0000, 0.0000, 0.0000) [2 per cell]  4 Al 3.19, 3 Ge 3.21-3.38
Sm (0.5000, 0.0000, 0.7164) [2 per cell]  4 Ge 3.15, 3 Al 3.26-3.37
Al (0.5000, 0.0000, 0.4222) [2 per cell]  2 Ge 2.63
Ge (0.0000, 0.0000, 0.2806) [2 per cell]  2 Al 2.63

Properties
As for the energy above the most stable polymorph in this dataset: 0 meV/atom. For the density of states at the Fermi level, the calculation gives 3.2 states/eV/f.u. Its formation energy is -0.66 eV per atom.

no.,total DFT energy (no corrections) (eV/atom)
1,-6.380
2,-6.192
3,-6.151
4,-5.761
5,-7.220
6,-5.953
7,-5.288
8,-6.602
9,-3.391
10,-4.964
11,-4.841
12,-5.161